MgTa2B: relaxed, PBE-GGA.

Lattice parameters (Å, degrees): 6.284 6.284 6.284 90.00 90.00 90.00
Space group F-43m (No. 216)
One atom of each set of equivalent atoms:
1 Mg 0.000 0.000 0.000 [4 per cell]
2 Ta 0.000 0.000 0.500 [4 per cell]
3 Ta 0.250 0.250 0.250 [4 per cell]
4 B 0.250 0.250 0.750 [4 per cell]

Uncorrected energy: -113.30 eV/cell
Crystal system: cubic

PmTaPO: relaxed, PBE-GGA.

Lattice parameters (Å, degrees): 3.974 3.974 8.996 90.00 90.00 90.00
Space group P4/nmm (No. 129, origin choice 2)
One atom of each set of equivalent atoms:
1 Pm 0.250 0.250 0.131 [2 per cell]
2 Ta 0.250 0.750 0.500 [2 per cell]
3 P 0.250 0.250 0.683 [2 per cell]
4 O 0.250 0.750 0.000 [2 per cell]

Uncorrected energy: -69.06 eV/cell
Crystal system: tetragonal

NbNiAgSb: relaxed, PBE-GGA.

Lattice parameters (Å, degrees): 7.528 7.528 7.528 90.00 90.00 90.00
Space group F-43m (No. 216)
One atom of each set of equivalent atoms:
1 Nb 0.000 0.000 0.000 [4 per cell]
2 Ni 0.000 0.000 0.500 [4 per cell]
3 Ag 0.250 0.250 0.750 [4 per cell]
4 Sb 0.250 0.250 0.250 [4 per cell]

Uncorrected energy: -74.11 eV/cell
Crystal system: cubic

Ge5W3Au: relaxed, PBE-GGA.

Lattice parameters (Å, degrees): 5.3907 5.3907 6.7808 90.00 90.00 120.00
Space group P6/mmm (No. 191)
One atom of each set of equivalent atoms:
1 Ge 0.0000 0.0000 0.0000 [1 per cell]
2 Ge 0.3333 0.6667 0.3169 [4 per cell]
3 W 0.0000 0.5000 0.0000 [3 per cell]
4 Au 0.0000 0.0000 0.5000 [1 per cell]

Uncorrected energy: -62.01 eV/cell
Crystal system: hexagonal

SrCuNiSb2: relaxed, PBE-GGA.

Lattice parameters (Å, degrees): 4.542 4.542 10.497 90.00 90.00 90.00
Space group P4/nmm (No. 129, origin choice 2)
One atom of each set of equivalent atoms:
1 Sr 0.250 0.250 0.246 [2 per cell]
2 Cu 0.250 0.750 0.000 [2 per cell]
3 Ni 0.250 0.250 0.619 [2 per cell]
4 Sb 0.250 0.250 0.863 [2 per cell]
5 Sb 0.250 0.750 0.500 [2 per cell]

Uncorrected energy: -43.64 eV/cell
Crystal system: tetragonal

Hf4In2AsC: relaxed, PBE-GGA.

Lattice parameters (Å, degrees): 3.4301 3.4301 15.5090 90.00 90.00 120.00
Space group P-3m1 (No. 164)
One atom of each set of equivalent atoms:
1 Hf 0.3333 0.6667 0.1087 [2 per cell]
2 Hf 0.3333 0.6667 0.4227 [2 per cell]
3 In 0.3333 0.6667 0.7349 [2 per cell]
4 As 0.0000 0.0000 0.0000 [1 per cell]
5 C 0.0000 0.0000 0.5000 [1 per cell]

Uncorrected energy: -63.66 eV/cell
Crystal system: trigonal